No. 1
Computed, not measured: crystalline CrNi at its relaxed geometry at the PBE-GGA level of DFT.

## Properties
- Energy of formation from the pure elements: 682 meV/atom
- Size of the total moment: 0.00 μB/f.u.

abc: 9.366 9.366 2.600
angles: 90.00 90.00 90.00
Space group I4/m (No. 87)
Symmetry-distinct sites (fractional):
Cr: 0.178 0.691 0.000 [8 per cell]
Ni: 0.033 0.179 0.000 [8 per cell]

No. 2
Computed, not measured: crystalline Ho3ZnGe2 at its relaxed geometry at the PBE-GGA level of DFT.

## Properties
- Energy of formation from the pure elements: -703 meV/atom
- Size of the total moment: 0.00 μB/f.u.

abc: 11.406 4.210 11.472
angles: 90.00 90.00 90.00
Space group Pnma (No. 62)
Symmetry-distinct sites (fractional):
Ho: 0.055 0.250 0.123 [4 per cell]
Ho: 0.129 0.750 0.565 [4 per cell]
Ho: 0.205 0.250 0.803 [4 per cell]
Zn: 0.137 0.250 0.363 [4 per cell]
Ge: 0.017 0.750 0.319 [4 per cell]
Ge: 0.184 0.750 0.001 [4 per cell]